{
  "formula": "MoPI2",
  "functional": "PBE",
  "state": "relaxed",
  "cell": [[10.340, 0.000, 0.000], [0.000, 10.340, 0.000], [5.170, 5.170, 2.317]],
  "species": ["I", "I", "I", "I", "P", "P", "Mo", "Mo"],
  "fractional_positions": [[0.375, 0.224, 0.750], [0.875, 0.026, 0.750], [0.974, 0.625, 0.250], [0.776, 0.125, 0.250], [0.500, 0.500, 0.000], [0.250, 0.750, 0.500], [0.000, 0.000, 0.000], [0.750, 0.250, 0.500]],
  "raw_formation_energy_ev_per_atom": 0.246,
  "magnetic_moment_mub_per_fu": 1.01,
  "vol_a3_per_atom": 30.97
}


{
  "formula": "Li4Y3ThSe8",
  "functional": "PBE",
  "state": "relaxed",
  "cell": [[8.156, 0.000, 0.000], [0.000, 8.054, -0.081], [-4.078, -4.074, 5.769]],
  "species": ["Se", "Se", "Se", "Se", "Se", "Se", "Se", "Se", "Li", "Li", "Li", "Li", "Y", "Y", "Y", "Th"],
  "fractional_positions": [[0.251, 0.240, 0.995], [0.255, 0.760, 0.510], [0.255, 0.760, 0.005], [0.749, 0.760, 0.005], [0.745, 0.240, 0.490], [0.248, 0.245, 0.497], [0.752, 0.755, 0.503], [0.745, 0.240, 0.995], [0.500, 0.000, 0.500], [0.500, 0.000, 0.000], [0.000, 0.000, 0.000], [0.000, 0.000, 0.500], [0.500, 0.500, 0.000], [0.000, 0.500, 0.500], [0.500, 0.500, 0.500], [0.000, 0.500, 0.000]],
  "raw_formation_energy_ev_per_atom": -1.644,
  "magnetic_moment_mub_per_fu": 0.00,
  "vol_a3_per_atom": 23.52
}


{
  "formula": "Y3TaRu",
  "functional": "PBE",
  "state": "relaxed",
  "cell": [[-1.434, -1.619, 4.788], [-3.506, -3.265, -2.154], [3.640, -3.783, -0.190]],
  "species": ["Ru", "Y", "Y", "Y", "Ta"],
  "fractional_positions": [[0.000, 0.000, 0.000], [0.500, 0.000, 0.000], [0.000, 0.000, 0.500], [0.000, 0.500, 0.000], [0.500, 0.500, 0.500]],
  "delta_e_f_ev_per_atom": 0.59,
  "magnetic_moment_mub_per_fu": 3.29,
  "vol_a3_per_atom": 29.00
}


no.,DOS(E_F) (states/eV/f.u.),electronic total energy (eV for the cell shown)
1,0.64,-36.72
2,3.67,-88.65
3,6.02,-37.59